[1]
## NdNpFeO6 (PBE with a Hubbard U)

Data for NdNpFeO6 after structural relaxation.

abc: 5.7011 5.7011 8.7166
angles: 90.00 90.00 120.00
Last column: nearest neighbours and their distance in Å.
Space group P-31c (No. 163)
Symmetry-distinct sites (fractional):
1 Nd 0.3333 0.6667 0.2500  6 O 2.39
2 Np 0.3333 0.6667 0.7500  6 O 2.09
3 Fe 0.0000 0.0000 0.0000  6 O 2.13
4 O 0.0419 0.3415 0.6227  1 Np 2.09, 1 Fe 2.13

Computed properties:
total magnetic moment = 6.000 μB per formula unit

[2]
## Nd2NpFeO8 (PBE with a Hubbard U)

Data for Nd2NpFeO8 after structural relaxation.

abc: 4.5784 5.2544 7.3727
angles: 82.66 87.10 83.80
Last column: nearest neighbours and their distance in Å.
Space group P-1 (No. 2)
Symmetry-distinct sites (fractional):
1 Nd 0.0989 0.0176 0.2350  5 O 2.32-2.47
2 Np 0.5000 0.5000 0.5000  4 O 1.95-1.97
3 Fe 0.5000 0.5000 0.0000  4 O 1.87-1.91
4 O 0.1375 0.7320 0.5251  1 Np 1.97
5 O 0.2234 0.7890 0.9877  1 Fe 1.87
6 O 0.3577 0.3830 0.2415  1 Fe 1.91
7 O 0.3745 0.2107 0.6667  1 Np 1.95

Computed properties:
total magnetic moment = 2.955 μB per formula unit

[3]
## Nd2FeO (PBE with a Hubbard U)

Data for Nd2FeO after structural relaxation.

abc: 3.5137 3.5137 27.1343
angles: 90.00 90.00 120.00
Last column: nearest neighbours and their distance in Å.
Space group R-3m (No. 166, hexagonal axes)
Symmetry-distinct sites (fractional):
1 Nd 0.0000 0.0000 0.1136  3 O 2.49
2 Fe 0.0000 0.0000 0.0000  2 Nd 3.08
3 O 0.0000 0.0000 0.5000  6 Nd 2.49

Computed properties:
DOS(E_F) = 2.67 states/eV/f.u.
total magnetic moment = 2.819 μB per formula unit

[4]
## Nd2Fe3O8 (PBE with a Hubbard U)

Data for Nd2Fe3O8 after structural relaxation.

abc: 3.8615 3.8615 12.3346
angles: 90.00 90.00 90.00
Last column: nearest neighbours and their distance in Å.
Space group P4/mmm (No. 123)
Symmetry-distinct sites (fractional):
1 Nd 0.0000 0.0000 0.1726  8 O 2.56-2.74
2 Fe 0.5000 0.5000 0.0000  6 O 1.93-1.96
3 Fe 0.5000 0.5000 0.3170  5 O 1.93-1.95
4 O 0.0000 0.5000 0.0000  2 Fe 1.93
5 O 0.0000 0.5000 0.3089  2 Fe 1.93
6 O 0.5000 0.5000 0.1587  2 Fe 1.95-1.96

Computed properties:
DOS(E_F) = 1.88 states/eV/f.u.
total magnetic moment = 13.999 μB per formula unit

[5]
## NdFeO3 (PBE with a Hubbard U)

Data for NdFeO3 after structural relaxation.

abc: 6.9649 13.1411 3.1409
angles: 90.00 90.00 90.00
Last column: nearest neighbours and their distance in Å.
Space group Pnma (No. 62)
Symmetry-distinct sites (fractional):
1 Nd 0.1492 0.2500 0.2455  6 O 2.31-2.42
2 Fe 0.0000 0.0000 0.0000  4 O 1.98-2.10
3 O 0.1058 0.7500 0.2408  4 Nd 2.31-2.40
4 O 0.1212 0.0752 0.4758  2 Fe 1.98-2.10

Computed properties:
total magnetic moment = 5.000 μB per formula unit

[6]
## NdFeO3 (PBE with a Hubbard U)

Data for NdFeO3 after structural relaxation.

abc: 7.8938 7.8466 7.8923
angles: 90.00 90.00 90.00
Last column: nearest neighbours and their distance in Å.
Space group Cmcm (No. 63)
Symmetry-distinct sites (fractional):
1 Nd 0.0000 0.0150 0.2500  8 O 2.52-2.68
2 Nd 0.0000 0.4808 0.7500  4 O 2.34-2.36
3 Fe 0.2500 0.2500 0.0000  6 O 2.00-2.05
4 O 0.0000 0.2949 0.0545  2 Fe 2.05
5 O 0.1937 0.2525 0.7500  2 Fe 2.02
6 O 0.1984 0.0000 0.0000  2 Fe 2.00

Computed properties:
total magnetic moment = 5.000 μB per formula unit

[7]
## NdFe2O4 (PBE with a Hubbard U)

Data for NdFe2O4 after structural relaxation.

abc: 10.0769 6.8932 7.0437
angles: 90.00 134.32 90.00
Last column: nearest neighbours and their distance in Å.
Space group C2/m (No. 12)
Symmetry-distinct sites (fractional):
1 Nd 0.2500 0.0000 0.1118  4 O 2.28-2.37
2 Fe 0.0000 0.0000 0.5000  6 O 2.09-2.23
3 Fe 0.0000 0.5000 0.0000  6 O 2.09-2.24
4 Fe 0.2500 0.2500 0.5000  6 O 2.00-2.17
5 O 0.0707 0.0000 0.2831  3 Fe 2.09-2.17
6 O 0.0707 0.5000 0.3579  3 Fe 2.09-2.17
7 O 0.2492 0.1896 0.7765  2 Fe 2.00-2.23

Computed properties:
total magnetic moment = 9.011 μB per formula unit

[8]
## NdFeO3 (PBE with a Hubbard U)

Data for NdFeO3 after structural relaxation.

abc: 12.0311 4.0856 7.3158
angles: 90.00 121.68 90.00
Last column: nearest neighbours and their distance in Å.
Space group C2/m (No. 12)
Symmetry-distinct sites (fractional):
1 Nd 0.1058 0.0000 0.3085  3 O 2.24-2.36
2 Fe 0.1792 0.5000 0.0285  5 O 1.89-2.04
3 O 0.0090 0.5000 0.7824  1 Fe 1.89
4 O 0.1753 0.0000 0.0312  3 Fe 2.01-2.04
5 O 0.2472 0.5000 0.3376  1 Fe 1.96

Computed properties:
total magnetic moment = 5.000 μB per formula unit

For the records above, the corresponding uncorrected energy values read -149.099, -98.869, -68.799, -91.885, -141.783, -299.492, -201.428, -146.575 eV for the cell shown.